Entry 1:
Material: Ce2Nd3HoP6
Method: DFT, PBE
State: relaxed

Its volume is 587.8 Å³/cell.

The structure belongs to space group C2/m (No. 12); the cell edges are 7.109, 12.313 and 7.121 Å and the angles 90.00°, 109.44° and 90.00°. The inequivalent atoms are Ce at (0.000, 0.167, 0.000), Nd at (0.000, 0.000, 0.500), Nd at (0.000, 0.333, 0.500), Ho at (0.000, 0.500, 0.000), P at (0.246, 0.334, 0.240) and P at (0.248, 0.000, 0.241).

***

Entry 2:
Material: CeNdHoPa
Method: DFT, PBE
State: relaxed

Its volume is 485.7 Å³/cell.

The structure belongs to space group F-43m (No. 216); the cell edges are 7.861, 7.861 and 7.861 Å and the angles 90.00°, 90.00° and 90.00°. The inequivalent atoms are Ce at (0.000, 0.000, 0.000), Nd at (0.000, 0.000, 0.500), Ho at (0.250, 0.250, 0.750) and Pa at (0.250, 0.250, 0.250).

***

Entry 3:
Material: CePmNd2Ho5
Method: DFT, PBE
State: relaxed

Its volume is 1166.1 Å³/cell.

The structure belongs to space group I4/mcm (No. 140); the cell edges are 8.656, 8.656 and 15.561 Å and the angles 90.00°, 90.00° and 90.00°. The inequivalent atoms are Ce at (0.000, 0.500, 0.250), Pm at (0.000, 0.000, 0.250), Nd at (0.120, 0.380, 0.000), Ho at (0.000, 0.000, 0.000) and Ho at (0.204, 0.296, 0.361).

***

Entry 4:
Material: CePmNd2Ho
Method: DFT, PBE
State: relaxed

Its volume is 337.9 Å³/cell.

The structure belongs to space group P2/c (No. 13); the cell edges are 8.434, 6.416 and 6.245 Å and the angles 90.00°, 90.72° and 90.00°. The inequivalent atoms are Ce at (0.000, 0.049, 0.250), Pm at (0.000, 0.500, 0.000), Nd at (0.306, 0.194, 0.746) and Ho at (0.500, 0.325, 0.250).

***

no.,DFT formation energy (eV/atom)
1,-1.544
2,0.395
3,0.267
4,0.266